No. 1
This record from Alexandria via LeMat-Bulk describes a geometry-optimized RbIr3Rh structure. The functional is PBE-GGA.

Output
- ΔE_f: 17.46 eV per formula unit
- Size of the total moment: 0.79 μB per atom
- VASP energy: -3.49 eV/atom
- Calculated volume: 21.83 A^3/atom

Unit cell a=4.779 b=4.779 c=4.779 alpha=90.00 beta=90.00 gamma=90.00
Space group Pm-3m (No. 221)
Symmetry-distinct sites (fractional):
Rb (0.000, 0.000, 0.000) [1 per cell]
Ir (0.000, 0.000, 0.500) [3 per cell]
Rh (0.500, 0.500, 0.500) [1 per cell]

No. 2
This record from Alexandria via LeMat-Bulk describes a geometry-optimized La2SnMoN structure. The functional is PBE-GGA.

Output
- E_form (uncorrected): -654 meV per atom
- Size of the total moment: 0.00 μB per atom
- VASP energy: -7.26 eV/atom
- Calculated volume: 22.81 A^3/atom

Unit cell a=5.284 b=5.284 c=4.085 alpha=90.00 beta=90.00 gamma=90.00
Space group P4/mmm (No. 123)
Symmetry-distinct sites (fractional):
La (0.000, 0.500, 0.000) [2 per cell]
Sn (0.000, 0.000, 0.500) [1 per cell]
Mo (0.500, 0.500, 0.500) [1 per cell]
N (0.500, 0.500, 0.000) [1 per cell]

No. 3
This record from Alexandria via LeMat-Bulk describes a geometry-optimized Ca2PmPt structure. The functional is PBE-GGA.

Output
- ΔE_f: -2.34 eV per formula unit
- Size of the total moment: 0.00 μB per atom
- VASP energy: -4.28 eV/atom
- Calculated volume: 30.74 A^3/atom

Unit cell a=4.003 b=12.695 c=9.680 alpha=90.00 beta=90.00 gamma=90.00
Space group Cmcm (No. 63)
Symmetry-distinct sites (fractional):
Ca (0.000, 0.146, 0.066) [8 per cell]
Pm (0.000, 0.420, 0.250) [4 per cell]
Pt (0.000, 0.238, 0.750) [4 per cell]

No. 4
This record from Alexandria via LeMat-Bulk describes a geometry-optimized La2HoEr12 structure. The functional is PBE-GGA.

Output
- ΔE_f: 5.50 eV per formula unit
- Size of the total moment: 0.00 μB per atom
- VASP energy: -4.25 eV/atom
- Calculated volume: 34.03 A^3/atom

Unit cell a=6.450 b=6.450 c=24.543 alpha=90.00 beta=90.00 gamma=90.00
Space group P4/nbm (No. 125, origin choice 2)
Symmetry-distinct sites (fractional):
La (0.250, 0.750, 0.237) [4 per cell]
Ho (0.250, 0.750, 0.500) [2 per cell]
Er (0.001, 0.501, 0.389) [8 per cell]
Er (0.081, 0.581, 0.939) [8 per cell]
Er (0.250, 0.250, 0.161) [4 per cell]
Er (0.250, 0.250, 0.289) [4 per cell]

No. 5
This record from Alexandria via LeMat-Bulk describes a geometry-optimized Ba2Si2MoN6 structure. The functional is PBE-GGA.

Output
- E_form (uncorrected): -573 meV per atom
- Size of the total moment: 0.00 μB per atom
- VASP energy: -7.43 eV/atom
- Calculated volume: 14.74 A^3/atom

Unit cell a=5.7383 b=5.7383 c=17.0545 alpha=90.00 beta=90.00 gamma=120.00
Space group R-3m (No. 166, hexagonal axes)
Symmetry-distinct sites (fractional):
Ba (0.0000, 0.0000, 0.2165) [6 per cell]
Si (0.0000, 0.0000, 0.4079) [6 per cell]
Mo (0.0000, 0.0000, 0.0000) [3 per cell]
N (0.0031, 0.5015, 0.7386) [18 per cell]

No. 6
This record from Alexandria via LeMat-Bulk describes a geometry-optimized Mn2TlBiC structure. The functional is PBE-GGA.

Output
- ΔE_f: 11.65 eV per formula unit
- Size of the total moment: 1.48 μB per atom
- VASP energy: -4.43 eV/atom
- Calculated volume: 30.89 A^3/atom

Unit cell a=5.142 b=5.142 c=5.842 alpha=90.00 beta=90.00 gamma=90.00
Space group P4/mmm (No. 123)
Symmetry-distinct sites (fractional):
Mn (0.000, 0.500, 0.000) [2 per cell]
Tl (0.000, 0.000, 0.000) [1 per cell]
Bi (0.000, 0.000, 0.500) [1 per cell]
C (0.500, 0.500, 0.500) [1 per cell]

No. 7
This record from Alexandria via LeMat-Bulk describes a geometry-optimized AcNdAl2Zn2 structure. The functional is PBE-GGA.

Output
- ΔE_f: -2.36 eV per formula unit
- Size of the total moment: 0.00 μB per atom
- VASP energy: -3.54 eV/atom
- Calculated volume: 24.56 A^3/atom

Unit cell a=4.6081 b=4.6081 c=8.0137 alpha=90.00 beta=90.00 gamma=120.00
Space group P-3m1 (No. 164)
Symmetry-distinct sites (fractional):
Ac (0.0000, 0.0000, 0.0000) [1 per cell]
Nd (0.0000, 0.0000, 0.5000) [1 per cell]
Al (0.3333, 0.6667, 0.2821) [2 per cell]
Zn (0.3333, 0.6667, 0.7086) [2 per cell]

No. 8
This record from Alexandria via LeMat-Bulk describes a geometry-optimized Ce2Sc2Sb2C structure. The functional is PBE-GGA.

Output
- E_form (uncorrected): -892 meV per atom
- Size of the total moment: 0.46 μB per atom
- VASP energy: -6.89 eV/atom
- Calculated volume: 23.89 A^3/atom

Unit cell a=4.567 b=4.567 c=16.034 alpha=90.00 beta=90.00 gamma=90.00
Space group I4/mmm (No. 139)
Symmetry-distinct sites (fractional):
Ce (0.000, 0.000, 0.161) [4 per cell]
Sc (0.000, 0.500, 0.000) [4 per cell]
Sb (0.000, 0.000, 0.368) [4 per cell]
C (0.000, 0.000, 0.000) [2 per cell]

No. 9
This record from Alexandria via LeMat-Bulk describes a geometry-optimized La2Dy3Th3 structure. The functional is PBE-GGA.

Output
- ΔE_f: 1.47 eV per formula unit
- Size of the total moment: 0.00 μB per atom
- VASP energy: -5.56 eV/atom
- Calculated volume: 33.30 A^3/atom

Unit cell a=9.1418 b=9.1418 c=3.6801 alpha=90.00 beta=90.00 gamma=120.00
Space group P-62m (No. 189)
Symmetry-distinct sites (fractional):
La (0.3333, 0.6667, 0.0000) [2 per cell]
Dy (0.0000, 0.3909, 0.5000) [3 per cell]
Th (0.0000, 0.7758, 0.0000) [3 per cell]

No. 10
This record from Alexandria via LeMat-Bulk describes a geometry-optimized AcCe2Rh2 structure. The functional is PBE-GGA.

Output
- ΔE_f: -2.90 eV per formula unit
- Size of the total moment: 0.14 μB per atom
- VASP energy: -6.72 eV/atom
- Calculated volume: 26.62 A^3/atom

Unit cell a=3.946 b=7.631 c=9.066 alpha=77.20 beta=89.78 gamma=89.87
Space group P-1 (No. 2)
Symmetry-distinct sites (fractional):
Ac (0.249, 0.225, 0.467) [2 per cell]
Ce (0.251, 0.872, 0.873) [2 per cell]
Ce (0.252, 0.388, 0.800) [2 per cell]
Rh (0.249, 0.400, 0.114) [2 per cell]
Rh (0.249, 0.868, 0.222) [2 per cell]

No. 11
This record from Alexandria via LeMat-Bulk describes a geometry-optimized Y3Os structure. The functional is PBE-GGA.

Output
- ΔE_f: -0.59 eV per formula unit
- Size of the total moment: 0.00 μB per atom
- VASP energy: -7.80 eV/atom
- Calculated volume: 26.34 A^3/atom

Unit cell a=11.704 b=11.704 c=6.154 alpha=90.00 beta=90.00 gamma=90.00
Space group P4_2/n (No. 86, origin choice 2)
Symmetry-distinct sites (fractional):
Y (0.031, 0.587, 0.209) [8 per cell]
Y (0.118, 0.199, 0.020) [8 per cell]
Y (0.122, 0.665, 0.699) [8 per cell]
Os (0.043, 0.193, 0.532) [8 per cell]

No. 12
This record from Alexandria via LeMat-Bulk describes a geometry-optimized K3Ce3RhO8 structure. The functional is PBE-GGA.

Output
- E_form (uncorrected): -2344 meV per atom
- Size of the total moment: 0.14 μB per atom
- VASP energy: -6.88 eV/atom
- Calculated volume: 17.74 A^3/atom

Unit cell a=12.043 b=7.087 c=7.443 alpha=90.00 beta=123.08 gamma=90.00
Space group C2/m (No. 12)
Symmetry-distinct sites (fractional):
K (0.000, 0.000, 0.000) [2 per cell]
K (0.250, 0.250, 0.000) [4 per cell]
Ce (0.000, 0.500, 0.500) [2 per cell]
Ce (0.250, 0.250, 0.500) [4 per cell]
Rh (0.000, 0.000, 0.500) [2 per cell]
O (0.026, 0.262, 0.317) [8 per cell]
O (0.214, 0.000, 0.667) [4 per cell]
O (0.231, 0.500, 0.690) [4 per cell]

No. 13
This record from Alexandria via LeMat-Bulk describes a geometry-optimized ScMoPCl2 structure. The functional is PBE-GGA.

Output
- E_form (uncorrected): -35 meV per atom
- Size of the total moment: 0.50 μB per atom
- VASP energy: -5.29 eV/atom
- Calculated volume: 22.15 A^3/atom

Unit cell a=4.764 b=4.764 c=4.881 alpha=90.00 beta=90.00 gamma=90.00
Space group P4/mmm (No. 123)
Symmetry-distinct sites (fractional):
Sc (0.000, 0.000, 0.000) [1 per cell]
Mo (0.500, 0.500, 0.500) [1 per cell]
P (0.500, 0.500, 0.000) [1 per cell]
Cl (0.000, 0.500, 0.500) [2 per cell]

No. 14
This record from Alexandria via LeMat-Bulk describes a geometry-optimized KBa2RuO6 structure. The functional is PBE-GGA.

Output
- E_form (uncorrected): -1732 meV per atom
- Size of the total moment: 0.10 μB per atom
- VASP energy: -6.13 eV/atom
- Calculated volume: 16.85 A^3/atom

Unit cell a=6.072 b=6.378 c=10.603 alpha=90.00 beta=124.84 gamma=90.00
Space group P2_1/c (No. 14)
Symmetry-distinct sites (fractional):
K (0.000, 0.000, 0.000) [2 per cell]
Ba (0.260, 0.056, 0.747) [4 per cell]
Ru (0.500, 0.000, 0.500) [2 per cell]
O (0.203, 0.037, 0.290) [4 per cell]
O (0.279, 0.665, 0.038) [4 per cell]
O (0.396, 0.249, 0.054) [4 per cell]

No. 15
This record from Alexandria via LeMat-Bulk describes a geometry-optimized Tb5Sm6Sc2 structure. The functional is PBE-GGA.

Output
- ΔE_f: 0.78 eV per formula unit
- Size of the total moment: 0.00 μB per atom
- VASP energy: -4.87 eV/atom
- Calculated volume: 32.00 A^3/atom

Unit cell a=11.407 b=20.372 c=3.581 alpha=90.00 beta=90.00 gamma=90.00
Space group Pbam (No. 55)
Symmetry-distinct sites (fractional):
Tb (0.000, 0.000, 0.000) [2 per cell]
Tb (0.058, 0.421, 0.000) [4 per cell]
Tb (0.146, 0.721, 0.000) [4 per cell]
Sm (0.081, 0.155, 0.000) [4 per cell]
Sm (0.169, 0.882, 0.500) [4 per cell]
Sm (0.218, 0.554, 0.500) [4 per cell]
Sc (0.113, 0.287, 0.500) [4 per cell]

No. 16
This record from Alexandria via LeMat-Bulk describes a geometry-optimized Tb2Er5AgRu2 structure. The functional is PBE-GGA.

Output
- ΔE_f: -3.04 eV per formula unit
- Size of the total moment: 0.00 μB per atom
- VASP energy: -5.65 eV/atom
- Calculated volume: 25.70 A^3/atom

Unit cell a=11.659 b=11.659 c=3.781 alpha=90.00 beta=90.00 gamma=90.00
Space group P4/mbm (No. 127)
Symmetry-distinct sites (fractional):
Tb (0.188, 0.312, 0.000) [4 per cell]
Er (0.000, 0.500, 0.500) [2 per cell]
Er (0.057, 0.790, 0.500) [8 per cell]
Ag (0.000, 0.000, 0.000) [2 per cell]
Ru (0.133, 0.633, 0.000) [4 per cell]

No. 17
This record from Alexandria via LeMat-Bulk describes a geometry-optimized ZrTc2N structure. The functional is PBE-GGA.

Output
- E_form (uncorrected): -190 meV per atom
- Size of the total moment: 0.00 μB per atom
- VASP energy: -9.59 eV/atom
- Calculated volume: 14.61 A^3/atom

Unit cell a=7.010 b=7.010 c=4.756 alpha=90.00 beta=90.00 gamma=90.00
Space group I-42d (No. 122)
Symmetry-distinct sites (fractional):
Zr (0.000, 0.000, 0.000) [4 per cell]
Tc (0.127, 0.250, 0.625) [8 per cell]
N (0.000, 0.000, 0.500) [4 per cell]

No. 18
This record from Alexandria via LeMat-Bulk describes a geometry-optimized Ca3Y2PaBi6 structure. The functional is PBE-GGA.

Output
- ΔE_f: -8.47 eV per formula unit
- Size of the total moment: 0.00 μB per atom
- VASP energy: -5.02 eV/atom
- Calculated volume: 33.35 A^3/atom

Unit cell a=7.859 b=13.617 c=7.925 alpha=90.00 beta=109.29 gamma=90.00
Space group C2/m (No. 12)
Symmetry-distinct sites (fractional):
Ca (0.000, 0.000, 0.000) [2 per cell]
Ca (0.000, 0.331, 0.000) [4 per cell]
Y (0.000, 0.166, 0.500) [4 per cell]
Pa (0.000, 0.500, 0.500) [2 per cell]
Bi (0.243, 0.336, 0.738) [8 per cell]
Bi (0.248, 0.500, 0.261) [4 per cell]

No. 19
This record from Alexandria via LeMat-Bulk describes a geometry-optimized Tl2CuNi structure. The functional is PBE-GGA.

Output
- ΔE_f: 2.04 eV per formula unit
- Size of the total moment: 0.00 μB per atom
- VASP energy: -3.14 eV/atom
- Calculated volume: 20.42 A^3/atom

Unit cell a=7.308 b=7.308 c=6.116 alpha=90.00 beta=90.00 gamma=90.00
Space group I-42d (No. 122)
Symmetry-distinct sites (fractional):
Tl (0.241, 0.250, 0.125) [8 per cell]
Cu (0.000, 0.000, 0.500) [4 per cell]
Ni (0.000, 0.000, 0.000) [4 per cell]

No. 20
This record from Alexandria via LeMat-Bulk describes a geometry-optimized LiP4Os structure. The functional is PBE-GGA.

Output
- ΔE_f: 4.31 eV per formula unit
- Size of the total moment: 0.00 μB per atom
- VASP energy: -5.08 eV/atom
- Calculated volume: 14.01 A^3/atom

Unit cell a=6.954 b=6.954 c=6.954 alpha=90.00 beta=90.00 gamma=90.00
Space group F-43m (No. 216)
Symmetry-distinct sites (fractional):
Li (0.000, 0.000, 0.000) [4 per cell]
P (0.126, 0.126, 0.374) [16 per cell]
Os (0.250, 0.250, 0.750) [4 per cell]